Entry from the Alexandria database: a relaxed structure of V6Bi4O19 (GGA+U).

a = 7.7818 Å, b = 7.8502 Å, c = 7.9457 Å
α = 108.88°, β = 108.85°, γ = 109.82°
Last column: nearest neighbours and their distance in Å.
Fractional positions:
V  0.0000  0.0000  0.0000  1 O 1.72
V  0.0095  0.3129  0.3411  6 O 1.87-2.05
V  0.1715  0.8139  0.6716  5 O 1.87-2.03
V  0.3522  0.1366  0.4947  3 O 1.73-1.88
V  0.6656  0.1893  0.8646  4 O 1.72-1.92
V  0.8481  0.5091  0.6879  4 O 1.82-1.98
Bi  0.1413  0.3242  0.7898  4 O 2.25-2.38
Bi  0.4672  0.6061  0.4386  4 O 2.25-2.39
Bi  0.4752  0.9340  0.1099  4 O 2.25-2.50
Bi  0.8367  0.7202  0.2122  3 O 2.24-2.35
O  0.1261  0.9730  0.5342  2 V 1.95-1.98
O  0.1702  0.3091  0.1935  2 V 1.97-2.02
O  0.1709  0.6138  0.4581  2 V 1.90-1.96
O  0.1858  0.6444  0.8410  2 V 2.17-2.18, 2 Bi 2.25-2.29
O  0.2093  0.0037  0.9146  2 V 1.87-1.95
O  0.2102  0.9707  0.2352  1 V 1.73
O  0.2383  0.3265  0.5477  2 V 1.94-1.98
O  0.4844  0.9282  0.8287  2 V 1.92-2.03
O  0.5111  0.0280  0.5574  1 V 1.76
O  0.5128  0.3040  0.8369  1 V 1.72
O  0.5289  0.6784  0.1942  3 Bi 2.25-2.43
O  0.5515  0.3577  0.4988  2 V 1.88-1.93
O  0.7808  0.2918  0.1426  2 V 1.85-1.87
O  0.8357  0.0154  0.8078  1 V 1.72
O  0.8469  0.6978  0.8930  2 V 1.82-1.97
O  0.8580  0.9965  0.1766  2 V 2.05, 1 Bi 2.24
O  0.8712  0.6546  0.5386  2 V 1.90-1.93
O  0.8831  0.3698  0.8651  1 V 1.80
O  0.8857  0.2891  0.5227  2 V 1.98-2.00

Calculated values
As for the total energy: -6.9818 eV/atom. The calculation puts the mass density at 6.4 g/cm³.